Entry 1:
# LiInPb2

A relaxed LiInPb2 crystal (PBEsol, Alexandria via LeMat-Bulk).

It has space group Cm (No. 8), with a = 11.038 Å, b = 3.403 Å, c = 5.605 Å, α = 90.00°, β = 103.88° and γ = 90.00°. Symmetry generates all atoms from Li at (0.000, 0.000, 0.000), In at (0.229, 0.500, 0.272), Pb at (0.255, 0.000, 0.802) and Pb at (0.488, 0.000, 0.492).

The value obtained for the energy is -26.83 eV per cell. For the total magnetization, the calculation gives 0.000 μB/atom.


Entry 2:
# LiIn2Pb2

A relaxed LiIn2Pb2 crystal (PBEsol, Alexandria via LeMat-Bulk).

It has space group I4/mmm (No. 139), with a = 4.234 Å, b = 4.234 Å, c = 15.946 Å, α = 90.00°, β = 90.00° and γ = 90.00°. Symmetry generates all atoms from Li at (0.000, 0.000, 0.000), In at (0.000, 0.500, 0.250) and Pb at (0.000, 0.000, 0.399).

The value obtained for the energy is -31.47 eV per cell. For the total magnetization, the calculation gives 0.000 μB/atom.


Entry 3:
# LiInPb2

A relaxed LiInPb2 crystal (PBEsol, Alexandria via LeMat-Bulk).

It has space group F-43m (No. 216), with a = 7.533 Å, b = 7.533 Å, c = 7.533 Å, α = 90.00°, β = 90.00° and γ = 90.00°. Symmetry generates all atoms from Li at (0.000, 0.000, 0.000), In at (0.250, 0.250, 0.250), Pb at (0.000, 0.000, 0.500) and Pb at (0.250, 0.250, 0.750).

The value obtained for the energy is -53.27 eV per cell. For the total magnetization, the calculation gives 0.000 μB/atom.


Entry 4:
# LiIn2Pb

A relaxed LiIn2Pb crystal (PBEsol, Alexandria via LeMat-Bulk).

It has space group C2/m (No. 12), with a = 11.306 Å, b = 3.757 Å, c = 5.040 Å, α = 90.00°, β = 115.50° and γ = 90.00°. Symmetry generates all atoms from Li at (0.000, 0.000, 0.000), In at (0.233, 0.500, 0.232) and Pb at (0.000, 0.500, 0.500).

The value obtained for the energy is -24.83 eV per cell. For the total magnetization, the calculation gives 0.000 μB/atom.


Entry 5:
# LiInPb2

A relaxed LiInPb2 crystal (PBEsol, Alexandria via LeMat-Bulk).

It has space group Pm (No. 6), with a = 3.510 Å, b = 4.903 Å, c = 6.209 Å, α = 90.00°, β = 106.12° and γ = 90.00°. Symmetry generates all atoms from Li at (0.000, 0.000, 0.000), In at (0.862, 0.500, 0.724), Pb at (0.255, 0.000, 0.514) and Pb at (0.588, 0.500, 0.182).

The value obtained for the energy is -13.34 eV per cell. For the total magnetization, the calculation gives 0.000 μB/atom.


Entry 6:
# LiIn2Pb

A relaxed LiIn2Pb crystal (PBEsol, Alexandria via LeMat-Bulk).

It has space group R-3m (No. 166, hexagonal axes), with a = 3.3705 Å, b = 3.3705 Å, c = 30.0798 Å, α = 90.00°, β = 90.00° and γ = 120.00°. Symmetry generates all atoms from Li at (0.0000, 0.0000, 0.0000), In at (0.0000, 0.0000, 0.2580) and Pb at (0.0000, 0.0000, 0.5000).

The value obtained for the energy is -36.86 eV per cell. For the total magnetization, the calculation gives 0.000 μB/atom.


Question: Which formula does entry 4 have?
Answer: LiIn2Pb


Question: What is the energy in the sixth record?
Answer: -36.86 eV per cell


Question: Number 5 is which compound?
Answer: LiInPb2